Record 1
A plane-wave DFT calculation with PBE was carried out for a relaxed structure of BaCr2Co.

Summary:
Energy above the most stable polymorph in this dataset   0.143 eV per atom
VASP energy   -6.38 eV per atom
Total moment   2.353 μB per formula unit
Formation energy   692 meV/atom

Unit cell a=3.1253 b=3.1253 c=7.7402 alpha=90.00 beta=90.00 gamma=90.00
Space group P4mm (No. 99)
Inequivalent atoms, fractional coordinates:
Ba1 0.0000 0.0000 0.0000 [1 per cell]
Cr1 0.0000 0.0000 0.4738 [1 per cell]
Cr2 0.5000 0.5000 0.6379 [1 per cell]
Co1 0.5000 0.5000 0.3210 [1 per cell]

***

Record 2
A plane-wave DFT calculation with PBE was carried out for a relaxed structure of Sc2InRh.

Summary:
VASP energy   -6.01 eV per atom
Total moment   0.000 μB per formula unit
Formation energy   -324 meV/atom

Unit cell a=7.7256 b=7.7256 c=5.7433 alpha=90.00 beta=90.00 gamma=90.00
Space group I-42d (No. 122)
Inequivalent atoms, fractional coordinates:
Sc1 0.1950 0.2500 0.1250 [8 per cell]
In1 0.0000 0.0000 0.5000 [4 per cell]
Rh1 0.0000 0.0000 0.0000 [4 per cell]

***

Record 3
A plane-wave DFT calculation with PBE was carried out for a relaxed structure of Te12Mo3Rh5.

Summary:
E_form (uncorrected)   0.01 eV per atom
VASP energy   -5.34 eV per atom
Total moment   0.000 μB per formula unit

Unit cell a=15.8139 b=15.8139 c=15.8139 alpha=90.00 beta=90.00 gamma=90.00
Space group Ia-3d (No. 230)
Inequivalent atoms, fractional coordinates:
Te1 0.0205 0.0694 0.6523 [96 per cell]
Mo1 0.0000 0.2500 0.1250 [24 per cell]
Rh1 0.0000 0.0000 0.0000 [16 per cell]
Rh2 0.0000 0.2500 0.3750 [24 per cell]

***

Record 4
A plane-wave DFT calculation with PBE was carried out for a relaxed structure of Rb2Bi3Au.

Summary:
VASP energy   -3.03 eV per atom
Total moment   0.000 μB per formula unit
Formation energy   -220 meV/atom

Unit cell a=5.2393 b=5.5953 c=8.6503 alpha=90.00 beta=90.00 gamma=90.00
Space group Pmm2 (No. 25)
Inequivalent atoms, fractional coordinates:
Rb1 0.0000 0.0000 0.0000 [1 per cell]
Rb2 0.5000 0.0000 0.4797 [1 per cell]
Bi1 0.0000 0.5000 0.3019 [1 per cell]
Bi2 0.0000 0.5000 0.6620 [1 per cell]
Bi3 0.5000 0.5000 0.8502 [1 per cell]
Au1 0.5000 0.5000 0.1763 [1 per cell]

***

Record 5
A plane-wave DFT calculation with PBE was carried out for a relaxed structure of Ga2SnPd6.

Summary:
VASP energy   -5.08 eV per atom
Total moment   0.000 μB per formula unit
Formation energy   -496 meV/atom

Unit cell a=4.4095 b=9.7537 c=13.2123 alpha=90.00 beta=90.00 gamma=90.00
Space group Fmmm (No. 69)
Inequivalent atoms, fractional coordinates:
Ga1 0.0000 0.0000 0.1675 [8 per cell]
Sn1 0.0000 0.0000 0.5000 [4 per cell]
Pd1 0.0000 0.1520 0.3288 [16 per cell]
Pd2 0.0000 0.1563 0.0000 [8 per cell]

***

Record 6
A plane-wave DFT calculation with PBE was carried out for a relaxed structure of NiIr2Os.

Summary:
Energy above the most stable polymorph in this dataset   0.383 eV per atom
VASP energy   -8.30 eV per atom
Total moment   0.025 μB per formula unit
Formation energy   388 meV/atom

Unit cell a=2.6869 b=4.6278 c=9.1100 alpha=90.00 beta=90.00 gamma=90.00
Space group Cmm2 (No. 35)
Inequivalent atoms, fractional coordinates:
Ni1 0.0000 0.0000 0.0000 [2 per cell]
Ir1 0.0000 0.0000 0.5024 [2 per cell]
Ir2 0.0000 0.5000 0.2410 [2 per cell]
Os1 0.0000 0.5000 0.7616 [2 per cell]

***

Record 7
A plane-wave DFT calculation with PBE was carried out for a relaxed structure of ErCo2C.

Summary:
Energy above the most stable polymorph in this dataset   0.283 eV per atom
VASP energy   -6.85 eV per atom
Total moment   0.000 μB per formula unit
Formation energy   146 meV/atom

Unit cell a=3.4735 b=3.4735 c=14.8910 alpha=90.00 beta=90.00 gamma=120.00
Space group R-3m (No. 166, hexagonal axes)
Inequivalent atoms, fractional coordinates:
Er1 0.0000 0.0000 0.0000 [3 per cell]
Co1 0.0000 0.0000 0.2017 [6 per cell]
C1 0.0000 0.0000 0.5000 [3 per cell]

***

Record 8
A plane-wave DFT calculation with PBE was carried out for a relaxed structure of Np2NiPt.

Summary:
VASP energy   -9.50 eV per atom
Total moment   7.074 μB per formula unit
Formation energy   -70 meV/atom

Unit cell a=4.0661 b=4.0661 c=4.3721 alpha=90.00 beta=90.00 gamma=90.00
Space group P4/mmm (No. 123)
Inequivalent atoms, fractional coordinates:
Np1 0.0000 0.5000 0.0000 [2 per cell]
Ni1 0.0000 0.0000 0.5000 [1 per cell]
Pt1 0.5000 0.5000 0.5000 [1 per cell]

***

Record 9
A plane-wave DFT calculation with PBE was carried out for a relaxed structure of Sm4Ho2Tm.

Summary:
Energy above the most stable polymorph in this dataset   0.076 eV per atom
VASP energy   -4.51 eV per atom
Total moment   0.000 μB per formula unit
Formation energy   130 meV/atom

Unit cell a=6.1972 b=6.5908 c=11.5210 alpha=90.00 beta=104.68 gamma=90.00
Space group P2_1/m (No. 11)
Inequivalent atoms, fractional coordinates:
Sm1 0.0426 0.2500 0.3657 [2 per cell]
Sm2 0.1499 0.2500 0.9501 [2 per cell]
Sm3 0.3503 0.5096 0.2146 [4 per cell]
Ho1 0.2881 0.7500 0.9218 [2 per cell]
Ho2 0.3899 0.7500 0.5057 [2 per cell]
Tm1 0.1511 0.2500 0.6642 [2 per cell]

***

Record 10
A plane-wave DFT calculation with PBE was carried out for a relaxed structure of Hf2Sc.

Summary:
Energy above the most stable polymorph in this dataset   0.074 eV per atom
VASP energy   -8.68 eV per atom
Total moment   0.000 μB per formula unit
Formation energy   64 meV/atom

Unit cell a=4.5182 b=13.5237 c=4.4642 alpha=90.00 beta=90.00 gamma=90.00
Space group Cmcm (No. 63)
Inequivalent atoms, fractional coordinates:
Hf1 0.0000 0.0881 0.2500 [4 per cell]
Hf2 0.0000 0.2513 0.7500 [4 per cell]
Sc1 0.0000 0.4151 0.2500 [4 per cell]

***

Record 11
A plane-wave DFT calculation with PBE was carried out for a relaxed structure of ErZn6Ag12.

Summary:
VASP energy   -2.38 eV per atom
Total moment   0.000 μB per formula unit
Formation energy   65 meV/atom

Unit cell a=11.8147 b=11.8147 c=8.9098 alpha=90.00 beta=90.00 gamma=120.00
Space group R-3m (No. 166, hexagonal axes)
Inequivalent atoms, fractional coordinates:
Er1 0.0000 0.0000 0.0000 [3 per cell]
Zn1 0.0578 0.5289 0.2422 [18 per cell]
Ag1 0.0000 0.3840 0.5000 [18 per cell]
Ag2 0.0825 0.1649 0.2924 [18 per cell]

***

Record 12
A plane-wave DFT calculation with PBE was carried out for a relaxed structure of BeCl2.

Summary:
Energy above the most stable polymorph in this dataset   0.010 eV per atom
E_form (uncorrected)   -1.42 eV per atom
VASP energy   -3.90 eV per atom
Total moment   0.000 μB per formula unit

Unit cell a=11.2865 b=11.2865 c=18.0943 alpha=90.00 beta=90.00 gamma=90.00
Space group I4_1/acd (No. 142, origin choice 2)
Inequivalent atoms, fractional coordinates:
Be1 0.0732 0.1240 0.3113 [32 per cell]
Cl1 0.0000 0.2500 0.0058 [16 per cell]
Cl2 0.0519 0.0461 0.8753 [32 per cell]
Cl3 0.1604 0.0000 0.2500 [16 per cell]

***

Record 13
A plane-wave DFT calculation with PBE was carried out for a relaxed structure of CePmAs2Rh5.

Summary:
VASP energy   -6.76 eV per atom
Total moment   0.000 μB per formula unit
Formation energy   -454 meV/atom

Unit cell a=4.0534 b=4.0534 c=11.3766 alpha=90.00 beta=90.00 gamma=90.00
Space group P4/mmm (No. 123)
Inequivalent atoms, fractional coordinates:
Ce1 0.0000 0.0000 0.0000 [1 per cell]
Pm1 0.5000 0.5000 0.5000 [1 per cell]
As1 0.0000 0.0000 0.2911 [2 per cell]
Rh1 0.0000 0.0000 0.5000 [1 per cell]
Rh2 0.0000 0.5000 0.1758 [4 per cell]

***

Record 14
A plane-wave DFT calculation with PBE was carried out for a relaxed structure of Np2Ge2Pt.

Summary:
VASP energy   -8.61 eV per atom
Total moment   5.476 μB per formula unit
Formation energy   -377 meV/atom

Unit cell a=10.4152 b=4.3415 c=8.6965 alpha=90.00 beta=100.66 gamma=90.00
Space group C2/m (No. 12)
Inequivalent atoms, fractional coordinates:
Np1 0.0408 0.0000 0.3831 [4 per cell]
Np2 0.1740 0.0000 0.0426 [4 per cell]
Ge1 0.0152 0.5000 0.8524 [4 per cell]
Ge2 0.1591 0.5000 0.6006 [4 per cell]
Pt1 0.2245 0.5000 0.2977 [4 per cell]

***

Record 15
A plane-wave DFT calculation with PBE was carried out for a relaxed structure of MgSc2As.

Summary:
VASP energy   -5.32 eV per atom
Total moment   0.000 μB per formula unit
Formation energy   -589 meV/atom

Unit cell a=3.9556 b=3.9558 c=10.7389 alpha=90.00 beta=90.00 gamma=90.00
Space group Amm2 (No. 38)
Inequivalent atoms, fractional coordinates:
Mg1 0.0000 0.0000 0.0000 [2 per cell]
Sc1 0.0000 0.0000 0.7235 [2 per cell]
Sc2 0.5000 0.0000 0.4277 [2 per cell]
As1 0.5000 0.0000 0.1658 [2 per cell]

***

Record 16
A plane-wave DFT calculation with PBE was carried out for a relaxed structure of Ca2TmOsO6.

Summary:
E_form (uncorrected)   -2.51 eV per atom
VASP energy   -7.45 eV per atom
Total moment   3.005 μB per formula unit

Unit cell a=5.5838 b=5.7870 c=9.7378 alpha=90.00 beta=124.57 gamma=90.00
Space group P2_1/c (No. 14)
Inequivalent atoms, fractional coordinates:
Ca1 0.2354 0.0544 0.2507 [4 per cell]
Tm1 0.5000 0.0000 0.0000 [2 per cell]
Os1 0.0000 0.0000 0.5000 [2 per cell]
O1 0.1244 0.2147 0.9411 [4 per cell]
O2 0.2341 0.6893 0.9467 [4 per cell]
O3 0.3416 0.0413 0.7352 [4 per cell]

***

Record 17
A plane-wave DFT calculation with PBE was carried out for a relaxed structure of La3Mo.

Summary:
Energy above the most stable polymorph in this dataset   0.000 eV per atom
VASP energy   -6.20 eV per atom
Total moment   0.000 μB per formula unit
Formation energy   207 meV/atom

Unit cell a=7.4348 b=10.0807 c=6.7522 alpha=90.00 beta=90.00 gamma=90.00
Space group Pnma (No. 62)
Inequivalent atoms, fractional coordinates:
La1 0.0618 0.2500 0.1364 [4 per cell]
La2 0.1729 0.0698 0.6694 [8 per cell]
Mo1 0.0677 0.7500 0.4735 [4 per cell]

***

Record 18
A plane-wave DFT calculation with PBE was carried out for a relaxed structure of Tm7Co2Hg2.

Summary:
VASP energy   -4.39 eV per atom
Total moment   0.000 μB per formula unit
Formation energy   -201 meV/atom

Unit cell a=7.6585 b=10.7011 c=6.9369 alpha=90.00 beta=90.00 gamma=90.00
Space group Cmmm (No. 65)
Inequivalent atoms, fractional coordinates:
Tm1 0.0000 0.0000 0.0000 [2 per cell]
Tm2 0.0000 0.5000 0.2339 [4 per cell]
Tm3 0.2500 0.2500 0.2437 [8 per cell]
Co1 0.0000 0.2918 0.0000 [4 per cell]
Hg1 0.1874 0.0000 0.5000 [4 per cell]